No. 1
A relaxed structure of SnTeS2. Source: Alexandria via LeMat-Bulk, functional PBE.

Cell and atoms, written as extended XYZ:
```
4
Lattice="7.345 1.397 5.496 7.055 -2.293 5.575 8.831 -0.635 2.780" Properties=species:S:1:pos:R:3 pbc="T T T"
Te 11.615 -0.766 6.926
S 20.844 -1.374 12.428
S 2.387 -0.157 1.423
Sn 0.000 0.000 0.000
```

Results
* M_tot: 0.00 μB per atom
* formation energy (no corrections): 208 meV/atom


No. 2
A relaxed structure of LiZn6Cu8. Source: Alexandria via LeMat-Bulk, functional PBE.

Cell and atoms, written as extended XYZ:
```
15
Lattice="-0.749 -0.327 -2.492 -4.667 -8.022 2.454 -4.533 8.458 0.254" Properties=species:S:1:pos:R:3 pbc="T T T"
Cu -4.526 5.943 -1.560
Cu -8.201 1.768 0.091
Cu -4.757 2.886 0.389
Cu -5.191 -2.777 -0.174
Cu -1.747 -1.658 0.125
Cu -2.749 0.423 -1.371
Cu -7.199 -0.313 1.587
Cu -5.422 -5.834 1.776
Zn -6.842 -2.800 1.701
Zn -5.921 0.808 -0.364
Zn -6.364 4.453 -0.708
Zn -3.106 2.910 -1.485
Zn -3.584 -4.343 0.924
Zn -4.027 -0.699 0.580
Li -0.374 -0.163 -1.246
```

Results
* M_tot: 0.00 μB per atom
* energy of formation: 0.059 eV per atom


No. 3
A relaxed structure of PrHo6Te8. Source: Alexandria via LeMat-Bulk, functional PBE.

Cell and atoms, written as extended XYZ:
```
15
Lattice="7.499 0.000 4.330 2.500 7.070 4.330 0.000 0.000 8.659" Properties=species:S:1:pos:R:3 pbc="T T T"
Te 3.815 5.210 10.710
Te 6.183 1.861 10.710
Te 7.499 5.303 12.989
Te 2.631 1.861 8.659
Te 7.367 5.210 8.659
Te 3.815 5.210 6.609
Te 6.183 1.861 6.609
Te 2.500 1.768 4.330
Ho 4.999 3.535 4.330
Ho 3.750 0.000 2.165
Ho 0.000 0.000 4.330
Ho 1.250 3.535 6.494
Ho 3.750 0.000 6.494
Ho 1.250 3.535 2.165
Pr 0.000 0.000 0.000
```

Results
* M_tot: 0.00 μB per atom
* formation energy (no corrections): -1348 meV/atom


No. 4
A relaxed structure of LiNdErCu. Source: Alexandria via LeMat-Bulk, functional PBE.

Cell and atoms, written as extended XYZ:
```
4
Lattice="-3.980 0.833 -3.064 -4.350 -2.543 0.729 -4.107 2.435 1.767" Properties=species:S:1:pos:R:3 pbc="T T T"
Cu -9.327 0.543 -0.426
Li -3.109 0.181 -0.142
Nd -6.218 0.362 -0.284
Er 0.000 0.000 0.000
```

Results
* M_tot: 0.00 μB per atom
* energy of formation: -0.008 eV per atom


| no. | Fermi-level density of states (states/eV per cell) | calculated volume (A^3/atom) | theoretical density (g/cm³) |
| --- | --- | --- | --- |
| 1 | 3.17 | 26.809 | 4.81 |
| 2 | 4.11 | 13.950 | 7.20 |
| 3 | 6.62 | 30.609 | 7.78 |
| 4 | 4.83 | 23.327 | 6.80 |